# 1
First-principles (PBE-GGA) data for crystalline Mn2TlS4 at its relaxed geometry, as listed in Alexandria. Values from VASP.

```
&SYSTEM
  ibrav = 0, nat = 14, ntyp = 3
/
ATOMIC_SPECIES
Mn 54.94 Mn.upf
Tl 204.38 Tl.upf
S 32.06 S.upf
ATOMIC_POSITIONS crystal
Mn 0.625 0.375 0.750
Mn 0.625 0.875 0.250
Mn 0.625 0.375 0.250
Mn 0.125 0.375 0.750
Tl 0.250 0.750 0.500
Tl 0.000 0.000 0.000
S 0.870 0.151 0.302
S 0.380 0.599 0.198
S 0.849 0.569 0.699
S 0.849 0.130 0.699
S 0.431 0.151 0.301
S 0.401 0.181 0.801
S 0.401 0.620 0.802
S 0.819 0.599 0.199
CELL_PARAMETERS angstrom
-5.669 2.829 -3.203
-3.528 -6.101 0.856
2.564 3.556 6.471
```

Calculated values
space group: I4_1/amd (141)
distance to the lowest polymorph of the same formula: 0.136 eV per atom
raw formation energy: -0.408 eV/atom

---

# 2
First-principles (PBE-GGA) data for crystalline Hf2URh at its relaxed geometry, as listed in Alexandria. Values from VASP.

```
&SYSTEM
  ibrav = 0, nat = 4, ntyp = 3
/
ATOMIC_SPECIES
Hf 178.49 Hf.upf
U 238.03 U.upf
Rh 102.91 Rh.upf
ATOMIC_POSITIONS crystal
Hf 0.000 0.000 0.785
Hf 0.000 0.000 0.215
U 0.500 0.500 0.500
Rh 0.500 0.500 0.000
CELL_PARAMETERS angstrom
3.145 0.000 0.000
0.000 3.145 0.000
0.000 0.000 8.069
```

Calculated values
space group: P4/mmm (123)
formation energy: -282 meV/atom
distance to the lowest polymorph of the same formula: 0.000 eV per atom

---

# 3
First-principles (PBE-GGA) data for crystalline Rb3BS3O12 at its relaxed geometry, as listed in Alexandria. Values from VASP.

```
&SYSTEM
  ibrav = 0, nat = 76, ntyp = 4
/
ATOMIC_SPECIES
Rb 85.47 Rb.upf
B 10.81 B.upf
S 32.06 S.upf
O 16.00 O.upf
ATOMIC_POSITIONS crystal
Rb 0.291 0.308 0.246
Rb 0.209 0.454 0.016
Rb 0.938 0.192 0.484
Rb 0.562 0.046 0.254
Rb 0.709 0.692 0.754
Rb 0.791 0.546 0.984
Rb 0.062 0.808 0.516
Rb 0.438 0.954 0.746
Rb 0.559 0.750 0.309
Rb 0.941 0.250 0.191
Rb 0.441 0.250 0.691
Rb 0.059 0.750 0.809
B 0.670 0.420 0.250
B 0.830 0.080 0.750
B 0.330 0.580 0.750
B 0.170 0.920 0.250
S 0.472 0.483 0.267
S 0.028 0.295 0.012
S 0.783 0.017 0.488
S 0.717 0.205 0.233
S 0.528 0.517 0.733
S 0.972 0.705 0.988
S 0.217 0.983 0.512
S 0.283 0.795 0.767
S 0.813 0.750 0.563
S 0.687 0.250 0.937
S 0.187 0.250 0.437
S 0.313 0.750 0.063
O 0.720 0.399 0.343
O 0.780 0.123 0.678
O 0.944 0.101 0.822
O 0.556 0.377 0.157
O 0.280 0.601 0.657
O 0.220 0.877 0.322
O 0.056 0.899 0.178
O 0.444 0.623 0.843
O 0.386 0.327 0.116
O 0.114 0.230 0.941
O 0.789 0.173 0.559
O 0.711 0.270 0.384
O 0.614 0.673 0.884
O 0.886 0.770 0.059
O 0.211 0.827 0.441
O 0.289 0.730 0.616
O 0.164 0.139 0.246
O 0.336 0.582 0.975
O 0.107 0.361 0.525
O 0.393 0.918 0.254
O 0.836 0.861 0.754
O 0.664 0.418 0.025
O 0.893 0.639 0.475
O 0.607 0.082 0.746
O 0.702 0.625 0.413
O 0.798 0.210 0.923
O 0.787 0.875 0.577
O 0.713 0.290 0.087
O 0.298 0.375 0.587
O 0.202 0.790 0.077
O 0.213 0.125 0.423
O 0.287 0.710 0.913
O 0.439 0.616 0.298
O 0.061 0.360 0.177
O 0.683 0.884 0.323
O 0.817 0.140 0.202
O 0.561 0.384 0.702
O 0.939 0.640 0.823
O 0.317 0.116 0.677
O 0.183 0.860 0.798
O 0.525 0.579 0.454
O 0.975 0.430 0.054
O 0.875 0.921 0.446
O 0.625 0.070 0.046
O 0.475 0.421 0.546
O 0.025 0.570 0.946
O 0.125 0.079 0.554
O 0.375 0.930 0.954
CELL_PARAMETERS angstrom
14.312 0.018 0.005
4.417 13.613 -0.005
-6.340 -10.971 6.654
```

Calculated values
space group: Ibca (73)
raw formation energy: -1.773 eV/atom

---

# 4
First-principles (PBE-GGA) data for crystalline KMgReRh2 at its relaxed geometry, as listed in Alexandria. Values from VASP.

```
&SYSTEM
  ibrav = 0, nat = 5, ntyp = 4
/
ATOMIC_SPECIES
Re 186.21 Re.upf
K 39.10 K.upf
Rh 102.91 Rh.upf
Mg 24.30 Mg.upf
ATOMIC_POSITIONS crystal
Re 0.000 0.500 0.000
K 0.000 0.000 0.000
Rh 0.000 0.000 0.500
Rh 0.500 0.000 0.000
Mg 0.500 0.500 0.500
CELL_PARAMETERS angstrom
4.717 0.000 0.000
0.000 4.751 0.000
0.000 0.000 4.717
```

Calculated values
space group: P4/mmm (123)
formation energy: 2511 meV/atom

---

# 5
First-principles (PBE-GGA) data for crystalline BaLa2PdCl at its relaxed geometry, as listed in Alexandria. Values from VASP.

```
&SYSTEM
  ibrav = 0, nat = 5, ntyp = 4
/
ATOMIC_SPECIES
Cl 35.45 Cl.upf
Ba 137.33 Ba.upf
Pd 106.42 Pd.upf
La 138.91 La.upf
ATOMIC_POSITIONS crystal
Cl 0.000 0.500 0.000
Ba 0.000 0.000 0.000
Pd 0.500 0.500 0.500
La 0.000 0.000 0.500
La 0.500 0.000 0.000
CELL_PARAMETERS angstrom
6.169 0.000 0.000
0.000 5.490 0.000
0.000 0.000 6.169
```

Calculated values
space group: P4/mmm (123)
raw formation energy: 0.581 eV/atom

---

# 6
First-principles (PBE-GGA) data for crystalline LaP2Pt at its relaxed geometry, as listed in Alexandria. Values from VASP.

```
&SYSTEM
  ibrav = 0, nat = 4, ntyp = 3
/
ATOMIC_SPECIES
La 138.91 La.upf
P 30.97 P.upf
Pt 195.08 Pt.upf
ATOMIC_POSITIONS crystal
La 0.000 0.500 0.500
P 0.000 0.000 0.000
P 0.500 0.500 0.000
Pt 0.500 0.000 0.500
CELL_PARAMETERS angstrom
4.451 0.000 0.000
0.000 4.450 0.000
0.000 0.000 3.874
```

Calculated values
space group: P4/mmm (123)
formation energy: -531 meV/atom
distance to the lowest polymorph of the same formula: 0.475 eV per atom

---

# 7
First-principles (PBE-GGA) data for crystalline CdHg2Se at its relaxed geometry, as listed in Alexandria. Values from VASP.

```
&SYSTEM
  ibrav = 0, nat = 4, ntyp = 3
/
ATOMIC_SPECIES
Cd 112.41 Cd.upf
Hg 200.59 Hg.upf
Se 78.96 Se.upf
ATOMIC_POSITIONS crystal
Cd 0.500 0.500 0.729
Hg 0.000 0.000 0.975
Hg 0.500 0.500 0.246
Se 0.000 0.000 0.549
CELL_PARAMETERS angstrom
2.965 0.000 0.000
0.000 3.973 0.000
0.000 0.000 8.826
```

Calculated values
space group: Pmm2 (25)
raw formation energy: 0.013 eV/atom

---

# 8
First-principles (PBE-GGA) data for crystalline Sr2YMgRh at its relaxed geometry, as listed in Alexandria. Values from VASP.

```
&SYSTEM
  ibrav = 0, nat = 5, ntyp = 4
/
ATOMIC_SPECIES
Y 88.91 Y.upf
Sr 87.62 Sr.upf
Mg 24.30 Mg.upf
Rh 102.91 Rh.upf
ATOMIC_POSITIONS crystal
Y 0.000 0.000 0.500
Sr 0.000 0.500 0.000
Sr 0.500 0.000 0.000
Mg 0.500 0.500 0.500
Rh 0.000 0.000 0.000
CELL_PARAMETERS angstrom
-4.237 0.541 4.040
-4.029 -1.443 -4.032
0.562 -5.139 1.277
```

Calculated values
space group: P4/mmm (123)
formation energy: -126 meV/atom

---

# 9
First-principles (PBE-GGA) data for crystalline Er7Ag2Pb2 at its relaxed geometry, as listed in Alexandria. Values from VASP.

```
&SYSTEM
  ibrav = 0, nat = 11, ntyp = 3
/
ATOMIC_SPECIES
Er 167.26 Er.upf
Ag 107.87 Ag.upf
Pb 207.20 Pb.upf
ATOMIC_POSITIONS crystal
Er 0.000 0.260 0.500
Er 0.500 0.740 0.000
Er 0.000 0.740 0.500
Er 0.500 0.260 0.000
Er 0.000 0.000 0.000
Er 0.500 0.756 0.500
Er 0.500 0.244 0.500
Ag 0.715 0.000 0.285
Ag 0.285 0.000 0.715
Pb 0.815 0.500 0.815
Pb 0.185 0.500 0.185
CELL_PARAMETERS angstrom
-4.474 4.178 3.374
0.512 -4.100 5.752
6.349 2.618 1.302
```

Calculated values
space group: Cmmm (65)
formation energy: -24 meV/atom

---

# 10
First-principles (PBE-GGA) data for crystalline SrIn3Hg12 at its relaxed geometry, as listed in Alexandria. Values from VASP.

```
&SYSTEM
  ibrav = 0, nat = 16, ntyp = 3
/
ATOMIC_SPECIES
Sr 87.62 Sr.upf
In 114.82 In.upf
Hg 200.59 Hg.upf
ATOMIC_POSITIONS crystal
Sr 0.000 0.000 0.000
In 0.000 0.000 0.256
In 0.000 0.000 0.500
In 0.000 0.000 0.744
Hg 0.500 0.500 0.000
Hg 0.500 0.500 0.253
Hg 0.500 0.500 0.500
Hg 0.500 0.500 0.747
Hg 0.500 0.000 0.133
Hg 0.500 0.000 0.376
Hg 0.500 0.000 0.624
Hg 0.500 0.000 0.867
Hg 0.000 0.500 0.133
Hg 0.000 0.500 0.376
Hg 0.000 0.500 0.624
Hg 0.000 0.500 0.867
CELL_PARAMETERS angstrom
4.938 0.000 0.000
0.000 4.938 0.000
0.000 0.000 17.769
```

Calculated values
space group: P4/mmm (123)
formation energy: -110 meV/atom

---

# 11
First-principles (PBE-GGA) data for crystalline Nd8Mg2Rh at its relaxed geometry, as listed in Alexandria. Values from VASP.

```
&SYSTEM
  ibrav = 0, nat = 11, ntyp = 3
/
ATOMIC_SPECIES
Nd 144.24 Nd.upf
Mg 24.30 Mg.upf
Rh 102.91 Rh.upf
ATOMIC_POSITIONS crystal
Nd 0.401 0.594 0.801
Nd 0.646 0.926 0.292
Nd 0.804 0.749 0.609
Nd 0.986 0.223 0.973
Nd 0.196 0.251 0.391
Nd 0.354 0.074 0.708
Nd 0.599 0.406 0.199
Nd 0.014 0.777 0.027
Mg 0.816 0.307 0.632
Mg 0.184 0.693 0.368
Rh 0.500 0.000 0.000
CELL_PARAMETERS angstrom
5.688 0.000 0.000
0.000 7.183 -0.016
-2.844 -3.105 8.382
```

Calculated values
space group: C2/m (12)
formation energy: -111 meV/atom

---

# 12
First-principles (PBE-GGA) data for crystalline CsK2Na7 at its relaxed geometry, as listed in Alexandria. Values from VASP.

```
&SYSTEM
  ibrav = 0, nat = 10, ntyp = 3
/
ATOMIC_SPECIES
Cs 132.91 Cs.upf
K 39.10 K.upf
Na 22.99 Na.upf
ATOMIC_POSITIONS crystal
Cs 0.000 0.000 0.000
K 0.500 0.738 0.477
K 0.500 0.262 0.523
Na 0.000 0.604 0.208
Na 0.000 0.396 0.792
Na 0.500 0.678 0.738
Na 0.500 0.322 0.262
Na 0.500 0.940 0.262
Na 0.500 0.060 0.738
Na 0.500 0.500 0.000
CELL_PARAMETERS angstrom
4.042 0.000 0.000
0.000 8.474 -3.142
0.000 0.667 14.799
```

Calculated values
space group: Cmmm (65)
formation energy: 67 meV/atom

---

no.,magnetic moment (μB per formula unit),density of states at the Fermi level (states/eV/f.u.)
1,7.32,2.79
2,0.47,7.23
3,0.06,0.00
4,3.01,6.78
5,0.06,7.84
6,0.00,1.91
7,0.00,1.08
8,0.00,3.45
9,0.00,11.15
10,0.00,4.43
11,0.00,12.76
12,0.00,4.91